A plane-wave DFT calculation with PBE-GGA was carried out for a geometry-optimized Zr5In2TcOs2 structure.

Output
Spin magnetization (μB/cell): 0.00
ρ (kg/m3): 9171
Uncorrected energy (eV/atom): -8.30
DFT formation energy (eV/f.u.): -1.97

Lattice parameters (Å, degrees): 11.282 11.282 3.312 90.00 90.00 90.00
Space group P4/mbm (No. 127)
One atom of each set of equivalent atoms:
1 Zr 0.000 0.500 0.000
2 Zr 0.066 0.191 0.000
3 In 0.175 0.675 0.500
4 Tc 0.000 0.000 0.500
5 Os 0.135 0.365 0.500